No. 1
8
Lattice="-0.8256 0.0334 -4.1974 2.2830 -1.7578 -0.4630 -4.5467 -6.6713 2.9094" Properties=species:S:1:pos:R:3 comment="AsHOsPd, relaxed, DFT PBE" mass_density_g_cm3=11.9 dos_at_fermi_per_ev_atom=0.698 spacegroup="No. 8" pbc="T T T"
As -0.8729 -0.3422 -3.0049
As -2.0048 -4.5568 -1.7817
H -1.4879 -1.7326 -0.7585
H -2.6197 -5.9471 0.4647
Os -3.9699 -5.0476 -0.4110
Os -0.5550 -2.5908 -2.0972
Pd -2.1883 -2.9907 0.5646
Pd -3.3202 -7.2053 1.7878

No. 2
10
Lattice="-4.7864 -1.6391 2.5159 -0.8126 -5.4543 1.2467 1.9033 0.6385 4.0359" Properties=species:S:1:pos:R:3 comment="AlHPd3, relaxed, DFT PBE" mass_density_g_cm3=9.2 dos_at_fermi_per_ev_atom=0.355 spacegroup="No. 4" pbc="T T T"
H -0.9534 -3.2852 4.7701
H -1.9094 -3.5987 2.7532
Al -0.3801 -1.3507 0.7775
Al -3.1625 -5.7616 5.3045
Pd -0.1607 -2.3253 3.3669
Pd -0.7627 -4.3081 1.4473
Pd -0.9354 -5.0602 4.1652
Pd -2.7635 -2.7988 4.6694
Pd -3.3655 -4.7816 2.7498
Pd -2.5908 -2.0466 1.9515

No. 3
6
Lattice="1.8142 -2.9860 3.3286 2.9245 1.7090 3.4371 -1.5370 0.2579 4.5671" Properties=species:S:1:pos:R:3 comment="Cr4WAu, relaxed, DFT PBE" mass_density_g_cm3=12.3 dos_at_fermi_per_ev_atom=1.130 ef_ev_per_atom=0.172 spacegroup="No. 216" pbc="T T T"
Cr 2.7693 -0.7658 4.7997
Cr 0.5390 -1.4912 5.3645
Cr 2.0010 -0.6369 7.0827
Cr 1.0941 0.8558 5.4188
W 0.8004 -0.2548 2.8332
Au 0.0000 0.0000 0.0000

No. 4
8
Lattice="3.8951 0.0000 0.0000 0.0000 3.8951 0.0000 0.0000 0.0000 9.7378" Properties=species:S:1:pos:R:3 comment="KCu4SeS2, relaxed, DFT PBE" e_form_raw_ev_per_fu=-3.26 mass_density_g_cm3=4.9 dos_at_fermi_per_ev_atom=0.493 spacegroup="No. 123" pbc="T T T"
K 0.0000 0.0000 4.8689
Cu 0.0000 1.9475 1.7058
Cu 1.9475 0.0000 8.0320
Cu 1.9475 0.0000 1.7058
Cu 0.0000 1.9475 8.0320
Se 0.0000 0.0000 0.0000
S 1.9475 1.9475 2.9338
S 1.9475 1.9475 6.8040

No. 5
4
Lattice="4.8400 0.0000 0.0000 2.4200 4.1915 0.0000 2.4200 1.3972 3.9518" Properties=species:S:1:pos:R:3 comment="TbCdGaPd, relaxed, DFT PBE" mass_density_g_cm3=9.3 dos_at_fermi_per_ev_atom=0.178 ef_ev_per_atom=-0.567 spacegroup="No. 216" pbc="T T T"
Tb 4.8400 2.7944 1.9759
Ga 7.2599 4.1915 2.9639
Pd 2.4200 1.3972 0.9880
Cd 0.0000 0.0000 0.0000

No. 6
20
Lattice="3.2337 0.0000 0.0000 0.0000 9.4606 0.0000 0.0000 0.0000 9.4606" Properties=species:S:1:pos:R:3 comment="Tm2B2PtRh5, relaxed, DFT PBE" mass_density_g_cm3=12.3 dos_at_fermi_per_ev_atom=0.859 ef_ev_per_atom=-0.718 spacegroup="No. 127" pbc="T T T"
Tm 0.0000 6.4060 1.6756
Tm 0.0000 3.0547 7.7850
Tm 0.0000 1.6756 3.0547
Tm 0.0000 7.7850 6.4060
B 0.0000 1.1621 5.8924
B 0.0000 8.2985 3.5682
B 0.0000 5.8924 8.2985
B 0.0000 3.5682 1.1621
Pt 0.0000 0.0000 0.0000
Pt 0.0000 4.7303 4.7303
Rh 1.6169 2.1239 0.6698
Rh 1.6169 7.3367 8.7908
Rh 1.6169 0.6698 7.3367
Rh 1.6169 6.8542 4.0605
Rh 1.6169 8.7908 2.1239
Rh 1.6169 2.6064 5.4001
Rh 1.6169 5.4001 6.8542
Rh 1.6169 4.0605 2.6064
Rh 1.6169 4.7303 0.0000
Rh 1.6169 0.0000 4.7303

No. 7
5
Lattice="-2.8633 1.9911 -2.3662 -3.0561 -1.3293 2.5796 -2.2072 5.8552 3.8448" Properties=species:S:1:pos:R:3 comment="SrCd2P2, relaxed, DFT PBE" mass_density_g_cm3=5.2 dos_at_fermi_per_ev_atom=0.000 ef_ev_per_atom=-0.429 spacegroup="No. 139" pbc="T T T"
Sr 0.0000 0.0000 0.0000
P -2.7780 1.6649 1.0094
P -5.3486 4.8521 3.0488
Cd -4.0151 4.0886 0.7927
Cd -4.1115 2.4284 3.2656

No. 8
5
Lattice="-5.0452 0.2569 0.7178 -0.6851 -3.6350 -3.5147 0.3591 -3.8347 3.8960" Properties=species:S:1:pos:R:3 comment="AgAsSeBr2, relaxed, DFT PBE" e_form_raw_ev_per_fu=3.07 mass_density_g_cm3=4.9 dos_at_fermi_per_ev_atom=0.654 spacegroup="No. 123" pbc="T T T"
As 0.1795 -1.9174 1.9480
Se -2.6856 -3.6064 0.5495
Br -0.3426 -1.8175 -1.7573
Br -2.5226 0.1284 0.3589
Ag 0.0000 0.0000 0.0000

No. 9
9
Lattice="5.2002 0.0000 1.4276 2.4042 4.6111 1.4276 -0.1696 -0.1028 10.8029" Properties=species:S:1:pos:R:3 comment="Na6PdPb2, relaxed, DFT PBE" mass_density_g_cm3=4.2 dos_at_fermi_per_ev_atom=0.607 ef_ev_per_atom=-0.140 spacegroup="No. 166" pbc="T T T"
Na 4.3886 2.6611 4.3842
Na 6.0429 3.6643 8.5432
Na 5.1211 3.1053 11.9009
Na 1.3919 0.8440 5.1149
Na 3.0462 1.8472 9.2739
Na 2.3137 1.4030 1.7572
Pd 0.0000 0.0000 0.0000
Pb 6.9001 4.1841 5.4207
Pb 0.5347 0.3242 8.2374

No. 10
6
Lattice="1.4893 -3.7680 4.1529 -3.8574 -1.5171 4.0597 -2.2514 -5.3473 0.0085" Properties=species:S:1:pos:R:3 comment="YMg4Be, relaxed, DFT PBE" mass_density_g_cm3=2.3 dos_at_fermi_per_ev_atom=0.456 ef_ev_per_atom=0.343 spacegroup="No. 216" pbc="T T T"
Y -3.4647 -7.9743 6.1659
Mg -0.9848 -5.8724 5.1617
Mg -2.8592 -6.6638 3.0849
Mg -3.6640 -4.7445 5.1150
Mg -1.7311 -3.9843 3.0807
Be 0.0000 0.0000 0.0000

No. 11
11
Lattice="4.5941 0.0000 -1.1428 -1.0109 7.1955 -4.0637 -0.1038 0.4715 9.3886" Properties=species:S:1:pos:R:3 comment="Ba3Hg4Au4, relaxed, DFT PBE" mass_density_g_cm3=10.4 dos_at_fermi_per_ev_atom=0.467 ef_ev_per_atom=-0.557 spacegroup="No. 71" pbc="T T T"
Ba 0.4537 1.0937 1.8238
Ba 3.0259 6.5732 2.3584
Ba -0.5054 3.5977 -2.0318
Hg 1.3222 1.3216 5.3153
Hg 2.5490 3.5575 0.4413
Hg 2.1573 6.3454 -1.1332
Hg 0.9305 4.1095 3.7409
Au 0.2237 5.3555 0.8991
Au 3.2559 2.3115 3.2830
Au 1.4615 5.9477 -3.9304
Au 2.1218 1.2478 -1.2761

No. 12
14
Lattice="-5.6489 2.8092 -4.5540 -6.0485 -4.8945 0.0068 -5.8858 4.3814 6.8851" Properties=species:S:1:pos:R:3 comment="SrTlBrCl4, relaxed, DFT PBE" e_form_raw_ev_per_fu=-9.11 mass_density_g_cm3=3.1 spacegroup="No. 12" pbc="T T T"
Sr -7.7539 3.8977 5.9043
Sr -9.8293 -1.6016 -3.5664
Tl -11.6042 1.9069 2.2043
Tl -5.9790 0.3892 0.1337
Br -12.7194 -1.1609 -3.0753
Br -4.8638 3.4570 5.4132
Cl -6.8088 1.5572 2.0338
Cl -10.7744 0.7389 0.3042
Cl -4.2231 -1.3799 0.7876
Cl -7.4999 -0.5274 -1.5479
Cl -13.5184 0.6237 3.3574
Cl -4.0648 1.6724 -1.0195
Cl -10.0833 2.8235 3.8858
Cl -13.3601 3.6760 1.5504

No. 13
4
Lattice="2.8994 0.0000 0.0000 1.4497 2.5110 0.0000 1.4497 0.8370 6.4815" Properties=species:S:1:pos:R:3 comment="BHPt2, relaxed, DFT PBE" mass_density_g_cm3=14.1 dos_at_fermi_per_ev_atom=0.316 spacegroup="No. 166" pbc="T T T"
H 2.8994 1.6740 3.2407
B 0.0000 0.0000 0.0000
Pt 1.4497 0.8370 4.5574
Pt 4.3491 2.5110 1.9241

No. 14
80
Lattice="-3.6067 -14.1322 1.7451 6.3128 1.8566 -13.1330 9.3982 3.9947 10.5588" Properties=species:S:1:pos:R:3 comment="Sr12N5Cl3, relaxed, DFT PBE" e_form_raw_ev_per_fu=-14.45 mass_density_g_cm3=3.3 dos_at_fermi_per_ev_atom=0.454 spacegroup="No. 230" pbc="T T T"
Cl 0.8370 -9.4036 -2.2962
Cl 2.7535 -10.4739 -7.0029
Cl 9.2559 -1.4104 -2.5960
Cl 3.4117 -1.8029 2.7542
Cl -0.0172 -11.1349 2.5251
Cl 4.9425 -3.1405 -4.9140
Cl 7.1617 -5.1403 4.0850
Cl 12.1214 2.8540 -3.3541
Cl 8.6925 -6.4779 -3.5832
Cl 2.8483 -6.8704 1.7670
Cl 9.3507 2.1930 6.1739
Cl 11.2672 1.1227 1.4672
N 4.2660 -0.0716 -2.0670
N 3.1564 0.9283 -6.5665
N 0.0000 0.0000 0.0000
N 1.4005 -4.3361 -1.3090
N 2.8957 -5.0687 6.1520
N 1.3530 -6.1378 -5.6939
N 7.8080 1.1239 -5.6720
N 6.3075 -6.8717 8.9062
N 4.7648 -7.9408 -2.9397
N 6.4852 -2.0714 6.9319
N 5.6190 -6.2094 -7.7609
N 6.0521 -4.1404 -0.4145
N -1.8033 -7.0661 0.8726
N 4.6991 1.9974 5.2794
N 7.3395 -0.3401 2.1107
N 5.7968 -1.4092 -9.7352
N 7.8555 2.9257 -1.2871
N 4.2962 -9.4048 4.8430
N 10.7038 -3.9448 0.4800
N 7.8382 -8.2093 1.2380
Sr -1.6727 -9.5482 -0.2062
Sr 5.7837 -1.9506 -1.9875
Sr 1.7313 -12.0513 -0.0808
Sr 0.4746 -6.3873 -0.4283
Sr 8.7203 -4.1449 -0.8862
Sr 1.9800 -12.1291 -4.2919
Sr 7.9173 -1.2884 -5.5761
Sr 6.5322 0.6800 -10.7020
Sr 10.4867 -3.9944 -4.7235
Sr 2.8692 -7.9992 -4.4376
Sr 3.7914 -8.9508 -0.9717
Sr 2.7961 -9.8375 -10.2092
Sr 8.7564 1.6851 -3.5211
Sr 1.8333 -4.3828 -3.6861
Sr 8.9718 2.0960 -7.5538
Sr 4.9041 -3.3327 5.6092
Sr 2.6999 0.0175 -0.2286
Sr 3.5438 -5.2291 -7.0042
Sr 5.7556 -8.6028 -7.4552
Sr 3.2424 -0.4343 -4.2260
Sr 12.4404 -0.3666 -3.8157
Sr 5.6736 -5.7314 -2.5750
Sr 6.7249 -9.0817 -3.7745
Sr 7.7584 -7.1214 6.9897
Sr 6.4306 -2.5495 1.7459
Sr 5.3794 0.8008 2.9455
Sr 4.3458 -1.1595 -7.8187
Sr 6.3487 0.3220 6.6262
Sr -0.3361 -7.9142 2.9867
Sr 8.8619 -7.8466 3.3970
Sr 8.5605 -3.0518 6.1752
Sr 7.2001 -4.9482 -6.4382
Sr 9.4044 -8.2984 -0.6004
Sr 3.1324 -10.3769 6.7248
Sr 3.3478 -9.9660 2.6921
Sr 9.3082 1.5566 9.3802
Sr 10.2709 -3.8980 2.8571
Sr 1.6175 -4.2865 3.8945
Sr 9.2351 -0.2816 3.6086
Sr 8.3128 0.6699 0.1427
Sr 5.5720 -8.9609 9.8730
Sr 4.1870 -6.9925 4.7471
Sr 11.6297 -1.8935 -0.4007
Sr 10.1242 3.8483 3.4629
Sr 3.3839 -4.1360 0.0572
Sr 10.3730 3.7704 -0.7482
Sr 6.3205 -6.3303 1.1585
Sr 13.7769 1.2674 -0.6228

No. 15
4
Lattice="3.7302 0.0000 0.0000 1.8651 3.2305 0.0000 1.8651 1.0768 6.7851" Properties=species:S:1:pos:R:3 comment="NpScP2, relaxed, DFT PBE" mass_density_g_cm3=7.0 dos_at_fermi_per_ev_atom=1.225 ef_ev_per_atom=-1.048 spacegroup="No. 160" pbc="T T T"
Np 3.7302 2.1536 3.4345
Sc 5.5953 3.2305 6.7354
P 1.8651 1.0768 5.2053
P 1.8651 1.0768 1.5874

No. 16
4
Lattice="4.7658 -0.0071 0.0113 3.8194 2.8504 0.0113 0.9392 0.3110 4.1974" Properties=species:S:1:pos:R:3 comment="SiRu2Se, relaxed, DFT PBE" e_form_raw_ev_per_fu=-0.37 mass_density_g_cm3=9.0 dos_at_fermi_per_ev_atom=0.632 spacegroup="No. 8" pbc="T T T"
Ru 8.5360 2.8271 0.3575
Ru 7.1413 2.3651 2.8778
Se 4.8328 1.6006 2.3955
Si 2.3618 0.7822 0.7217

No. 17
4
Lattice="3.9569 0.0000 0.0000 0.0000 3.9569 0.0000 0.0000 0.0000 11.4700" Properties=species:S:1:pos:R:3 comment="K2CaBr, relaxed, DFT PBE" e_form_raw_ev_per_fu=-2.40 mass_density_g_cm3=1.8 dos_at_fermi_per_ev_atom=0.556 spacegroup="No. 99" pbc="T T T"
Br 0.0000 0.0000 5.8980
Ca 1.9784 1.9784 7.9177
K 0.0000 0.0000 11.2201
K 1.9784 1.9784 3.6392

No. 18
8
Lattice="-1.0877 -2.3442 -3.1704 -1.8821 -2.5812 2.5543 -9.3315 2.3795 -1.1965" Properties=species:S:1:pos:R:3 comment="MnAl2In, relaxed, DFT PBE" mass_density_g_cm3=4.8 dos_at_fermi_per_ev_atom=0.527 ef_ev_per_atom=0.286 spacegroup="No. 122" pbc="T T T"
Mn -1.4849 -2.4627 -0.3080
Mn -6.3492 -1.3323 0.5249
Al -3.2079 -1.1067 -1.8447
Al -3.6852 -1.3977 0.7844
Al -8.1815 -0.1574 -1.0344
Al -9.5279 -2.4302 -1.5304
In 0.0000 0.0000 0.0000
In -5.9520 -1.2137 -2.3374

No. 19
5
Lattice="5.3341 0.0000 0.0000 0.0000 5.1456 0.0000 0.0000 0.0000 5.3341" Properties=species:S:1:pos:R:3 comment="NaSc2CoHg, relaxed, DFT PBE" mass_density_g_cm3=4.2 dos_at_fermi_per_ev_atom=1.006 ef_ev_per_atom=0.893 spacegroup="No. 123" pbc="T T T"
Sc 0.0000 0.0000 2.6671
Sc 2.6671 0.0000 0.0000
Na 0.0000 2.5728 0.0000
Co 2.6671 2.5728 2.6671
Hg 0.0000 0.0000 0.0000

No. 20
5
Lattice="-0.2677 -0.7449 4.6243 -3.2828 -3.2741 -0.7174 3.5715 -3.5027 -0.3574" Properties=species:S:1:pos:R:3 comment="CrSe2BrCl, relaxed, DFT PBE" e_form_raw_ev_per_fu=0.78 mass_density_g_cm3=4.9 dos_at_fermi_per_ev_atom=1.058 spacegroup="No. 123" pbc="T T T"
Cr 0.0000 0.0000 0.0000
Se -1.6414 -1.6371 -0.3587
Se -0.1339 -0.3724 2.3122
Br 1.7858 -1.7513 -0.1787
Cl 0.0105 -3.7608 1.7747

Calculated total energy readings, ordered: -47.39 -50.37 -53.69 -32.48 -16.03 -144.55 -16.48 -11.26 -21.78 -14.51 -26.21 -44.43 -20.85 -327.18 -34.29 -27.82 -8.27 -36.50 -16.93 -19.34 eV for the cell shown